Below is In4AgPd7 after structural relaxation, with properties calculated at the GGA-PBE level.

```
In4AgPd7
1.0
-3.422 0.552 3.570
-4.262 -7.443 0.533
1.835 -1.923 5.523
In Pd Ag
4 7 1
Cartesian
-1.999 -2.583 1.951
-4.005 -6.313 4.072
-3.851 -6.232 7.675
-1.844 -2.502 5.555
-3.711 -3.621 3.938
-3.092 -3.554 7.989
-2.139 -5.194 5.688
-5.680 -7.291 6.086
-1.711 0.276 1.785
-2.758 -5.261 1.637
-0.170 -1.523 3.540
0.000 0.000 0.000
```

Calculated values
Its crystal system is monoclinic. The symmetry is No. 12. For the formation energy, the calculation gives -0.256 eV per atom.

***

Below is AcPr2SmN4 after structural relaxation, with properties calculated at the GGA-PBE level.

```
AcPr2SmN4
1.0
-0.795 1.783 3.168
5.465 -2.228 2.625
1.158 5.649 -2.889
Pr N Ac Sm
2 4 1 1
Cartesian
0.182 3.716 0.139
3.311 1.711 -0.132
1.318 1.754 1.529
4.348 -0.247 1.230
4.510 3.450 1.375
2.274 3.668 -1.494
0.000 0.000 0.000
2.335 -0.223 2.897
```

Calculated values
Its crystal system is monoclinic. Its formation energy without anion corrections is -9.92 eV per formula unit. The symmetry is No. 10.

***

Below is CdCu2BPt after structural relaxation, with properties calculated at the GGA-PBE level.

```
CdCu2BPt
1.0
-0.298 -4.062 -0.441
4.085 -0.297 -0.022
-0.010 -0.448 4.137
B Cd Pt Cu
1 1 1 2
Cartesian
0.000 0.000 0.000
1.889 -2.404 1.837
-0.005 -0.224 2.068
2.043 -0.149 -0.011
-0.149 -2.031 -0.220
```

Calculated values
Its crystal system is tetragonal. The symmetry is No. 123. For the formation energy, the calculation gives -0.014 eV per atom.

***

Below is HIrO4 after structural relaxation, with properties calculated at the GGA-PBE level.

```
HIrO4
1.0
-1.299 -5.177 -2.605
3.438 -4.175 -0.187
-2.330 -4.045 2.783
O H Ir
8 2 2
Cartesian
1.466 -5.707 0.155
0.752 -8.046 -1.043
-1.648 -7.743 0.071
-0.928 -5.345 1.239
-0.297 -10.338 0.259
-0.144 -3.175 -0.256
-0.688 -5.641 -1.377
0.505 -7.585 1.724
-1.476 -5.797 1.934
-0.394 -3.742 0.520
2.383 -7.988 -2.075
-0.030 -6.686 0.101
```

Calculated values
As for the total energy: -5.792 eV/atom. Its crystal system is monoclinic. The symmetry is No. 9.

***

Below is Er2Al4ZnPt3 after structural relaxation, with properties calculated at the GGA-PBE level.

```
Er2Al4ZnPt3
1.0
-2.349 -3.405 0.091
1.311 -0.802 3.841
-8.172 5.745 3.990
Al Zn Er Pt
4 1 2 3
Cartesian
-6.359 1.943 2.577
0.000 0.000 0.000
-2.332 1.699 3.379
-0.519 -2.103 1.966
-4.605 0.769 3.961
-5.500 3.926 4.926
-3.191 -0.285 1.030
-8.227 3.255 3.488
-0.465 0.387 2.467
-4.086 2.873 1.995
```

Calculated values
Its crystal system is tetragonal. The symmetry is No. 115. For the formation energy, the calculation gives -0.957 eV per atom.

***

Below is U5Mo after structural relaxation, with properties calculated at the GGA-PBE level.

```
U5Mo
1.0
-2.873 0.296 0.833
0.848 -3.062 4.016
1.431 7.602 2.229
U Mo
5 1
Cartesian
0.219 2.647 5.237
1.262 4.129 2.882
-0.813 2.190 1.841
1.018 0.411 3.363
-1.012 -1.383 2.424
0.000 0.000 0.000
```

Calculated values
Its crystal system is orthorhombic. The symmetry is No. 65. For the formation energy, the calculation gives 0.176 eV per atom.

***

Below is SiSbPd3 after structural relaxation, with properties calculated at the GGA-PBE level.

```
SiSbPd3
1.0
-2.370 -4.275 -0.504
0.444 -0.815 4.826
-4.282 2.282 0.779
Sb Pd Si
1 3 1
Cartesian
0.000 0.000 0.000
0.222 -0.407 2.413
-1.185 -2.138 -0.252
-2.141 1.141 0.390
-3.104 -1.404 2.551
```

Calculated values
Its crystal system is cubic. Its formation energy without anion corrections is 3.07 eV per formula unit. The symmetry is No. 221.

***

Below is LiCa2Ta after structural relaxation, with properties calculated at the GGA-PBE level.

```
LiCa2Ta
1.0
4.494 0.000 0.000
0.000 3.220 0.013
0.000 3.169 7.454
Li Ca Ta
1 2 1
Cartesian
2.247 1.597 1.867
0.000 3.189 3.826
0.000 3.175 7.362
2.247 4.792 5.601
```

Calculated values
Its crystal system is monoclinic. The symmetry is No. 10. For the formation energy, the calculation gives 0.646 eV per atom.

***

Below is NbCr2Se after structural relaxation, with properties calculated at the GGA-PBE level.

```
NbCr2Se
1.0
-2.734 -1.203 6.494
1.029 -7.020 -0.868
1.579 -3.887 3.878
Se Cr Nb
2 4 2
Cartesian
-0.852 -4.112 2.813
0.878 -7.509 2.912
-1.076 -2.553 4.661
-0.348 -9.831 7.866
0.586 -6.278 4.984
0.587 -5.557 1.498
0.000 0.000 0.000
-1.003 -4.601 6.592
```

Calculated values
Its crystal system is tetragonal. Its formation energy without anion corrections is 2.07 eV per formula unit. The symmetry is No. 122.

***

Below is NaSiHg after structural relaxation, with properties calculated at the GGA-PBE level.

```
NaSiHg
1.0
-0.971 -3.379 -1.402
-1.585 -1.249 4.108
-8.126 2.289 0.110
Na Si Hg
2 2 2
Cartesian
-3.798 -3.193 2.664
-6.884 0.855 0.153
-9.052 -1.106 1.271
-1.630 -1.233 1.546
-6.592 -2.083 1.923
-4.089 -0.256 0.894
```

Calculated values
Its crystal system is orthorhombic. Its formation energy without anion corrections is -0.10 eV per formula unit. The symmetry is No. 63.

***

Below is LiBeS3 after structural relaxation, with properties calculated at the GGA-PBE level.

```
LiBeS3
1.0
-2.041 3.375 1.847
-2.510 -2.753 2.256
2.916 -0.007 3.235
Li Be S
1 1 3
Cartesian
0.000 0.000 0.000
-0.817 0.307 3.669
1.458 -0.004 1.617
-1.255 -1.376 1.128
-1.020 1.687 0.924
```

Calculated values
Its crystal system is cubic. Its formation energy without anion corrections is 4.13 eV per formula unit. The symmetry is No. 221.

***

Below is Hf2PdRu after structural relaxation, with properties calculated at the GGA-PBE level.

```
Hf2PdRu
1.0
-1.448 2.622 1.119
-1.815 0.119 -2.629
-4.773 -3.966 3.116
Hf Pd Ru
2 1 1
Cartesian
-1.138 -0.946 0.743
-3.635 -3.020 2.373
-4.018 -0.612 0.803
-1.632 1.370 -0.755
```

Calculated values
Its crystal system is tetragonal. The symmetry is No. 123. For the formation energy, the calculation gives -0.698 eV per atom.